# 1
Material: Zr2FeMo
Method: DFT, PBE
State: optimized geometry

Cell lengths 3.2030, 3.2030, 24.7523 Å; angles 90.00, 90.00, 120.00 degrees
Space group R-3m (No. 166, hexagonal axes)
Inequivalent atoms, fractional coordinates:
Zr 0.0000 0.0000 0.2464
Fe 0.0000 0.0000 0.5000
Mo 0.0000 0.0000 0.0000

Results
Formation enthalpy at 0 K ... 0.269 eV per atom

# 2
Material: ZrFeMo2
Method: DFT, PBE
State: optimized geometry

Cell lengths 2.7857, 2.7857, 8.2488 Å; angles 90.00, 90.00, 90.00 degrees
Space group P4/mmm (No. 123)
Inequivalent atoms, fractional coordinates:
Zr 0.0000 0.0000 0.0000
Fe 0.0000 0.0000 0.5000
Mo 0.5000 0.5000 0.2946

Results
Formation enthalpy at 0 K ... 0.219 eV per atom
E above lowest polymorph ... 0.202 eV/atom

# 3
Material: ZrFe3Mo
Method: DFT, PBE
State: optimized geometry

Cell lengths 4.3993, 4.3993, 4.3993 Å; angles 90.00, 90.00, 90.00 degrees
Space group Pm-3m (No. 221)
Inequivalent atoms, fractional coordinates:
Zr 0.0000 0.0000 0.0000
Fe 0.0000 0.5000 0.5000
Mo 0.5000 0.5000 0.5000

Results
Formation enthalpy at 0 K ... 0.996 eV per atom
E above lowest polymorph ... 0.000 eV/atom

# 4
Material: ZrFe2Mo
Method: DFT, PBE
State: optimized geometry

Cell lengths 3.3085, 4.1901, 4.3620 Å; angles 90.00, 90.00, 90.00 degrees
Space group Pmmm (No. 47)
Inequivalent atoms, fractional coordinates:
Zr 0.0000 0.0000 0.0000
Fe 0.0000 0.5000 0.5000
Fe 0.5000 0.5000 0.0000
Mo 0.5000 0.0000 0.5000

Results
Formation enthalpy at 0 K ... 0.154 eV per atom

# 5
Material: ZrFeMo2
Method: DFT, PBE
State: optimized geometry

Cell lengths 6.3066, 6.3066, 6.3066 Å; angles 90.00, 90.00, 90.00 degrees
Space group Fm-3m (No. 225)
Inequivalent atoms, fractional coordinates:
Zr 0.0000 0.0000 0.0000
Fe 0.0000 0.0000 0.5000
Mo 0.2500 0.2500 0.2500

Results
Formation enthalpy at 0 K ... 0.271 eV per atom
E above lowest polymorph ... 0.253 eV/atom

# 6
Material: ZrFe2Mo
Method: DFT, PBE
State: optimized geometry

Cell lengths 5.4461, 8.3126, 2.7687 Å; angles 90.00, 106.42, 90.00 degrees
Space group C2/m (No. 12)
Inequivalent atoms, fractional coordinates:
Zr 0.0000 0.0000 0.0000
Fe 0.2500 0.2500 0.5000
Mo 0.0000 0.5000 0.0000

Results
Formation enthalpy at 0 K ... 0.165 eV per atom

# 7
Material: Zr2FeMo
Method: DFT, PBE
State: optimized geometry

Cell lengths 5.9657, 8.6266, 2.9643 Å; angles 90.00, 111.24, 90.00 degrees
Space group C2/m (No. 12)
Inequivalent atoms, fractional coordinates:
Zr 0.2500 0.2500 0.0000
Fe 0.0000 0.0000 0.5000
Mo 0.0000 0.5000 0.5000

Results
Formation enthalpy at 0 K ... 0.182 eV per atom

# 8
Material: Zr9FeMo4
Method: DFT, PBE
State: optimized geometry

Cell lengths 8.8078, 8.8078, 8.4351 Å; angles 90.00, 90.00, 120.00 degrees
Space group P6_3/mmc (No. 194)
Inequivalent atoms, fractional coordinates:
Zr 0.0841 0.5420 0.2500
Zr 0.2017 0.4034 0.5584
Fe 0.3333 0.6667 0.7500
Mo 0.0000 0.0000 0.0000
Mo 0.1105 0.2210 0.2500

Results
Formation enthalpy at 0 K ... -0.096 eV per atom